# 1
VASP calculation (PBE-GGA) on ZrInW2 after structural relaxation.

Formation energy (eV per formula unit): 1.16
DOS(E_F) (states/eV/atom): 0.7385

Lattice parameters (Å, degrees): 4.038 4.038 4.551 90.00 90.00 90.00
Atoms (fractional coordinates):
Zr (0.000, 0.000, 0.000)
In (0.500, 0.500, 0.000)
W (0.000, 0.500, 0.500)
W (0.500, 0.000, 0.500)



# 2
VASP calculation (PBE-GGA) on Dy3TeBr2O6 after structural relaxation.

Raw formation energy (meV per atom): -2107
DOS(E_F) (states/eV/atom): 0.1132

Lattice parameters (Å, degrees): 6.774 6.774 5.742 100.37 100.37 58.91
Atoms (fractional coordinates):
Dy (0.000, 0.000, 0.000)
Dy (0.000, 0.500, 0.500)
Dy (0.500, 0.000, 0.500)
Te (0.500, 0.500, 0.500)
Br (0.213, 0.213, 0.864)
Br (0.787, 0.787, 0.136)
O (0.194, 0.687, 0.702)
O (0.313, 0.806, 0.298)
O (0.329, 0.329, 0.341)
O (0.671, 0.671, 0.659)
O (0.687, 0.194, 0.702)
O (0.806, 0.313, 0.298)



# 3
VASP calculation (PBE-GGA) on LaTlRu after structural relaxation.

Formation energy (eV per formula unit): 0.08
DOS(E_F) (states/eV/atom): 1.1599

Lattice parameters (Å, degrees): 4.764 4.764 3.826 90.00 90.00 120.00
Atoms (fractional coordinates):
La (0.000, 0.000, 0.000)
Tl (0.333, 0.667, 0.500)
Ru (0.667, 0.333, 0.500)



# 4
VASP calculation (PBE-GGA) on ZrZnGaAu after structural relaxation.

Formation energy (eV per formula unit): -1.75
DOS(E_F) (states/eV/atom): 0.6518

Lattice parameters (Å, degrees): 3.982 4.097 4.372 90.00 90.00 90.00
Atoms (fractional coordinates):
Zr (0.000, 0.000, 0.000)
Zn (0.000, 0.500, 0.500)
Ga (0.500, 0.500, 0.000)
Au (0.500, 0.000, 0.500)



# 5
VASP calculation (PBE-GGA) on NaCdCuHg2 after structural relaxation.

Formation energy (eV per formula unit): 0.12
DOS(E_F) (states/eV/atom): 0.3148

Lattice parameters (Å, degrees): 5.125 5.125 5.088 90.00 90.00 90.00
Atoms (fractional coordinates):
Na (0.000, 0.000, 0.000)
Cd (0.500, 0.500, 0.000)
Cu (0.500, 0.500, 0.500)
Hg (0.000, 0.500, 0.500)
Hg (0.500, 0.000, 0.500)



# 6
VASP calculation (PBE-GGA) on SmTm3Sc2 after structural relaxation.

Polymorph energy (0 for the lowest one) (meV/atom): 0.0
Formation energy (eV per formula unit): 0.79
DOS(E_F) (states/eV/atom): 1.7401

Lattice parameters (Å, degrees): 8.688 8.688 13.774 116.96 116.96 22.50
Atoms (fractional coordinates):
Sm (0.060, 0.060, 0.148)
Sm (0.940, 0.940, 0.852)
Tm (0.104, 0.104, 0.527)
Tm (0.243, 0.243, 0.800)
Tm (0.460, 0.460, 0.289)
Tm (0.540, 0.540, 0.711)
Tm (0.757, 0.757, 0.200)
Tm (0.896, 0.896, 0.473)
Sc (0.160, 0.160, 0.967)
Sc (0.317, 0.317, 0.614)
Sc (0.683, 0.683, 0.386)
Sc (0.840, 0.840, 0.033)



# 7
VASP calculation (PBE-GGA) on SmDy4Y3 after structural relaxation.

Polymorph energy (0 for the lowest one) (meV/atom): 166.8
Formation energy (eV per formula unit): 1.39
DOS(E_F) (states/eV/atom): 1.8369

Lattice parameters (Å, degrees): 11.891 11.891 6.710 106.33 106.33 16.78
Atoms (fractional coordinates):
Sm (0.000, 0.000, 0.000)
Dy (0.240, 0.240, 0.244)
Dy (0.375, 0.375, 0.630)
Dy (0.625, 0.625, 0.370)
Dy (0.760, 0.760, 0.756)
Y (0.374, 0.374, 0.118)
Y (0.500, 0.500, 0.500)
Y (0.626, 0.626, 0.882)



# 8
VASP calculation (PBE-GGA) on Mn2FeBr after structural relaxation.

Polymorph energy (0 for the lowest one) (meV/atom): 214.0
Raw formation energy (meV per atom): 576
DOS(E_F) (states/eV/atom): 0.7926

Lattice parameters (Å, degrees): 6.399 6.399 6.399 152.35 142.97 46.83
Atoms (fractional coordinates):
Mn (0.000, 0.000, 0.000)
Mn (0.655, 0.155, 0.500)
Fe (0.476, 0.476, 0.000)
Br (0.295, 0.795, 0.500)



# 9
VASP calculation (PBE-GGA) on Bi2PAu after structural relaxation.

Formation energy (eV per formula unit): 0.28
DOS(E_F) (states/eV/atom): 0.4768

Lattice parameters (Å, degrees): 7.566 7.566 7.566 30.98 30.98 30.98
Atoms (fractional coordinates):
Bi (0.247, 0.247, 0.247)
Bi (0.753, 0.753, 0.753)
P (0.500, 0.500, 0.500)
Au (0.000, 0.000, 0.000)



# 10
VASP calculation (PBE-GGA) on Nd2DyH8 after structural relaxation.

DOS(E_F) (states/eV/atom): 0.1431
Electronic total energy (eV/cell): -47.46

Lattice parameters (Å, degrees): 6.539 6.539 6.539 146.27 132.56 59.47
Atoms (fractional coordinates):
Nd (0.168, 0.168, 0.000)
Nd (0.832, 0.832, 0.000)
Dy (0.500, 0.500, 0.000)
H (0.091, 0.345, 0.746)
H (0.247, 0.000, 0.247)
H (0.335, 0.835, 0.500)
H (0.400, 0.655, 0.746)
H (0.600, 0.345, 0.254)
H (0.665, 0.165, 0.500)
H (0.753, 0.000, 0.753)
H (0.909, 0.655, 0.254)



# 11
VASP calculation (PBE-GGA) on FeTcTe2 after structural relaxation.

Polymorph energy (0 for the lowest one) (meV/atom): 648.7
Raw formation energy (meV per atom): 635
DOS(E_F) (states/eV/atom): 0.9952

Lattice parameters (Å, degrees): 8.708 8.708 8.708 22.07 22.07 22.07
Atoms (fractional coordinates):
Fe (0.000, 0.000, 0.000)
Tc (0.500, 0.500, 0.500)
Te (0.400, 0.400, 0.400)
Te (0.600, 0.600, 0.600)



# 12
VASP calculation (PBE-GGA) on NpMnTl2Cl8 after structural relaxation.

Raw formation energy (meV per atom): -1278
DOS(E_F) (states/eV/atom): 0.3460

Lattice parameters (Å, degrees): 6.645 7.116 8.272 89.91 89.90 87.21
Atoms (fractional coordinates):
Np (0.000, 0.000, 0.000)
Mn (0.000, 0.000, 0.500)
Tl (0.500, 0.500, 0.268)
Tl (0.500, 0.500, 0.732)
Cl (0.192, 0.718, 0.500)
Cl (0.213, 0.683, 0.000)
Cl (0.219, 0.124, 0.758)
Cl (0.220, 0.124, 0.241)
Cl (0.780, 0.876, 0.759)
Cl (0.781, 0.876, 0.242)
Cl (0.787, 0.317, 0.000)
Cl (0.808, 0.282, 0.500)



# 13
VASP calculation (PBE-GGA) on TaTi3Ga5 after structural relaxation.

Formation energy (eV per formula unit): -2.68
DOS(E_F) (states/eV/atom): 0.8671

Lattice parameters (Å, degrees): 7.932 7.932 5.402 90.00 90.00 120.00
Atoms (fractional coordinates):
Ta (0.000, 0.000, 0.000)
Ta (0.000, 0.000, 0.500)
Ti (0.000, 0.369, 0.250)
Ti (0.000, 0.631, 0.750)
Ti (0.369, 0.000, 0.250)
Ti (0.369, 0.369, 0.750)
Ti (0.631, 0.000, 0.750)
Ti (0.631, 0.631, 0.250)
Ga (0.000, 0.299, 0.750)
Ga (0.000, 0.701, 0.250)
Ga (0.299, 0.000, 0.750)
Ga (0.299, 0.299, 0.250)
Ga (0.333, 0.667, 0.000)
Ga (0.333, 0.667, 0.500)
Ga (0.667, 0.333, 0.000)
Ga (0.667, 0.333, 0.500)
Ga (0.701, 0.000, 0.250)
Ga (0.701, 0.701, 0.750)



# 14
VASP calculation (PBE-GGA) on ReSbBr2 after structural relaxation.

Polymorph energy (0 for the lowest one) (meV/atom): 1073.8
Raw formation energy (meV per atom): 1313
DOS(E_F) (states/eV/atom): 1.0327

Lattice parameters (Å, degrees): 5.401 5.401 3.081 90.00 90.00 108.01
Atoms (fractional coordinates):
Re (0.000, 0.000, 0.000)
Sb (0.500, 0.500, 0.000)
Br (0.000, 0.500, 0.500)
Br (0.500, 0.000, 0.500)



# 15
VASP calculation (PBE-GGA) on NaPa4Se5 after structural relaxation.

Raw formation energy (meV per atom): -1213
DOS(E_F) (states/eV/atom): 1.6624

Lattice parameters (Å, degrees): 14.698 14.698 14.698 164.08 164.08 22.59
Atoms (fractional coordinates):
Na (0.000, 0.000, 0.000)
Pa (0.200, 0.200, 0.000)
Pa (0.399, 0.399, 0.000)
Pa (0.601, 0.601, 0.000)
Pa (0.800, 0.800, 0.000)
Se (0.098, 0.098, 0.000)
Se (0.299, 0.299, 0.000)
Se (0.500, 0.500, 0.000)
Se (0.701, 0.701, 0.000)
Se (0.902, 0.902, 0.000)



# 16
VASP calculation (PBE-GGA) on HfZr3Re after structural relaxation.

Polymorph energy (0 for the lowest one) (meV/atom): 0.0
Formation energy (eV per formula unit): 3.22
DOS(E_F) (states/eV/atom): 1.2584

Lattice parameters (Å, degrees): 5.051 5.051 5.051 90.00 90.00 90.00
Atoms (fractional coordinates):
Hf (0.000, 0.000, 0.000)
Zr (0.000, 0.500, 0.500)
Zr (0.500, 0.000, 0.500)
Zr (0.500, 0.500, 0.000)
Re (0.500, 0.500, 0.500)



# 17
VASP calculation (PBE-GGA) on LaAlGe3 after structural relaxation.

Formation energy (eV per formula unit): -0.23
DOS(E_F) (states/eV/atom): 0.7464

Lattice parameters (Å, degrees): 4.913 4.913 4.913 90.00 90.00 90.00
Atoms (fractional coordinates):
La (0.000, 0.000, 0.000)
Al (0.500, 0.500, 0.500)
Ge (0.000, 0.500, 0.500)
Ge (0.500, 0.000, 0.500)
Ge (0.500, 0.500, 0.000)



# 18
VASP calculation (PBE-GGA) on CeHfFe2 after structural relaxation.

Formation energy (eV per formula unit): -0.16
DOS(E_F) (states/eV/atom): 0.6651

Lattice parameters (Å, degrees): 3.147 3.147 6.795 90.00 90.00 90.00
Atoms (fractional coordinates):
Ce (0.000, 0.000, 0.000)
Hf (0.000, 0.000, 0.500)
Fe (0.500, 0.500, 0.276)
Fe (0.500, 0.500, 0.724)



# 19
VASP calculation (PBE-GGA) on Nd8Sm3Er4 after structural relaxation.

Formation energy (eV per formula unit): 4.98
DOS(E_F) (states/eV/atom): 1.5442

Lattice parameters (Å, degrees): 9.239 9.239 6.891 110.51 110.51 83.26
Atoms (fractional coordinates):
Nd (0.204, 0.204, 0.171)
Nd (0.206, 0.794, 0.000)
Nd (0.254, 0.746, 0.500)
Nd (0.256, 0.256, 0.703)
Nd (0.744, 0.744, 0.297)
Nd (0.746, 0.254, 0.500)
Nd (0.794, 0.206, 0.000)
Nd (0.796, 0.796, 0.829)
Sm (0.000, 0.000, 0.500)
Sm (0.000, 0.500, 0.000)
Sm (0.500, 0.000, 0.000)
Er (0.000, 0.500, 0.500)
Er (0.500, 0.000, 0.500)
Er (0.500, 0.500, 0.000)
Er (0.500, 0.500, 0.500)



# 20
VASP calculation (PBE-GGA) on PmSm5Sb5 after structural relaxation.

Raw formation energy (meV per atom): -992
DOS(E_F) (states/eV/atom): 0.5463

Lattice parameters (Å, degrees): 7.668 7.668 8.865 106.76 106.76 48.36
Atoms (fractional coordinates):
Pm (0.000, 0.000, 0.000)
Sm (0.000, 0.000, 0.500)
Sm (0.333, 0.333, 0.667)
Sm (0.334, 0.334, 0.167)
Sm (0.666, 0.666, 0.833)
Sm (0.667, 0.667, 0.333)
Sb (0.167, 0.167, 0.336)
Sb (0.168, 0.168, 0.832)
Sb (0.500, 0.500, 0.000)
Sb (0.832, 0.832, 0.168)
Sb (0.833, 0.833, 0.664)



# 21
VASP calculation (PBE-GGA) on LiFeRu4 after structural relaxation.

Formation energy (eV per formula unit): 3.31
DOS(E_F) (states/eV/atom): 1.4336

Lattice parameters (Å, degrees): 5.058 5.058 5.058 60.00 60.00 60.00
Atoms (fractional coordinates):
Li (0.000, 0.000, 0.000)
Fe (0.250, 0.250, 0.250)
Ru (0.125, 0.625, 0.625)
Ru (0.625, 0.125, 0.625)
Ru (0.625, 0.625, 0.125)
Ru (0.625, 0.625, 0.625)



# 22
VASP calculation (PBE-GGA) on ZnPRhSe after structural relaxation.

Polymorph energy (0 for the lowest one) (meV/atom): 110.7
Raw formation energy (meV per atom): -272
DOS(E_F) (states/eV/atom): 0.3159

Lattice parameters (Å, degrees): 6.489 6.489 6.489 35.34 35.34 35.34
Atoms (fractional coordinates):
Zn (0.000, 0.000, 0.000)
P (0.476, 0.476, 0.476)
Rh (0.135, 0.135, 0.135)
Se (0.610, 0.610, 0.610)



# 23
VASP calculation (PBE-GGA) on TePdBr6 after structural relaxation.

Raw formation energy (meV per atom): -260

Lattice parameters (Å, degrees): 6.100 7.055 8.180 111.75 108.96 93.60
Atoms (fractional coordinates):
Te (0.000, 0.000, 0.000)
Pd (0.500, 0.500, 0.000)
Br (0.148, 0.620, 0.851)
Br (0.249, 0.148, 0.819)
Br (0.339, 0.187, 0.343)
Br (0.661, 0.813, 0.657)
Br (0.751, 0.852, 0.181)
Br (0.852, 0.380, 0.149)



# 24
VASP calculation (PBE-GGA) on LiDy2BO5 after structural relaxation.

Raw formation energy (meV per atom): -2831
DOS(E_F) (states/eV/atom): 0.0000

Lattice parameters (Å, degrees): 6.680 6.680 9.492 90.00 90.00 153.13
Atoms (fractional coordinates):
Li (0.190, 0.810, 0.500)
Li (0.810, 0.190, 0.000)
Dy (0.124, 0.876, 0.147)
Dy (0.138, 0.862, 0.800)
Dy (0.862, 0.138, 0.300)
Dy (0.876, 0.124, 0.647)
B (0.442, 0.558, 0.880)
B (0.558, 0.442, 0.380)
O (0.029, 0.971, 0.459)
O (0.295, 0.705, 0.162)
O (0.336, 0.664, 0.846)
O (0.344, 0.656, 0.484)
O (0.497, 0.503, 0.252)
O (0.503, 0.497, 0.752)
O (0.656, 0.344, 0.984)
O (0.664, 0.336, 0.346)
O (0.705, 0.295, 0.662)
O (0.971, 0.029, 0.959)